Crystalline SrPr2Co at its relaxed geometry. Source: the Alexandria database, functional GGA-PBE.

Cell: 3.591 3.591 10.116 Å, 90.00 90.00 90.00°
Atoms (fractional coordinates):
Sr: 0.000 0.000 0.000
Pr: 0.500 0.500 0.337
Pr: 0.500 0.500 0.663
Co: 0.000 0.000 0.500

* formation enthalpy at 0 K: 0.102 eV/atom
* density of states at the Fermi level: 0.9985 states/eV per atom
* space-group type: P4/mmm
* calculated total energy: -17.9 eV per formula unit

Crystalline Sr2Pr4Co at its relaxed geometry. Source: the Alexandria database, functional GGA-PBE.

Cell: 5.500 5.500 19.299 Å, 90.00 90.00 90.00°
Atoms (fractional coordinates):
Sr: 0.000 0.000 0.163
Sr: 0.000 0.000 0.837
Sr: 0.500 0.500 0.337
Sr: 0.500 0.500 0.663
Pr: 0.000 0.000 0.362
Pr: 0.000 0.000 0.638
Pr: 0.000 0.500 0.000
Pr: 0.000 0.500 0.500
Pr: 0.500 0.000 0.000
Pr: 0.500 0.000 0.500
Pr: 0.500 0.500 0.138
Pr: 0.500 0.500 0.862
Co: 0.000 0.000 0.500
Co: 0.500 0.500 0.000

* formation enthalpy at 0 K: 0.193 eV/atom
* density of states at the Fermi level: 1.5749 states/eV per atom
* space-group type: I4/mmm
* calculated total energy: -28.2 eV per formula unit

Crystalline SrPr2Co at its relaxed geometry. Source: the Alexandria database, functional GGA-PBE.

Cell: 4.005 4.005 32.919 Å, 90.00 90.00 120.00°
Atoms (fractional coordinates):
Sr: 0.000 0.000 0.000
Sr: 0.333 0.667 0.667
Sr: 0.667 0.333 0.333
Pr: 0.000 0.000 0.121
Pr: 0.000 0.000 0.879
Pr: 0.333 0.667 0.546
Pr: 0.333 0.667 0.788
Pr: 0.667 0.333 0.212
Pr: 0.667 0.333 0.454
Co: 0.000 0.000 0.500
Co: 0.333 0.667 0.167
Co: 0.667 0.333 0.833

* formation enthalpy at 0 K: 0.120 eV/atom
* density of states at the Fermi level: 1.0893 states/eV per atom
* space-group type: R-3m
* calculated total energy: -17.9 eV per formula unit

Crystalline PrTaCo2 at its relaxed geometry. Source: the Alexandria database, functional GGA-PBE.

Cell: 3.117 3.117 7.145 Å, 90.00 90.00 90.00°
Atoms (fractional coordinates):
Pr: 0.000 0.000 0.000
Ta: 0.000 0.000 0.500
Co: 0.500 0.500 0.312
Co: 0.500 0.500 0.688

* formation enthalpy at 0 K: -0.048 eV/atom
* density of states at the Fermi level: 1.0679 states/eV per atom
* space-group type: P4/mmm
* calculated total energy: -31.0 eV per formula unit

Crystalline TbPr2Co at its relaxed geometry. Source: the Alexandria database, functional GGA-PBE.

Cell: 3.687 3.687 31.535 Å, 90.00 90.00 120.00°
Atoms (fractional coordinates):
Tb: 0.000 0.000 0.000
Tb: 0.333 0.667 0.667
Tb: 0.667 0.333 0.333
Pr: 0.000 0.000 0.112
Pr: 0.000 0.000 0.888
Pr: 0.333 0.667 0.555
Pr: 0.333 0.667 0.778
Pr: 0.667 0.333 0.222
Pr: 0.667 0.333 0.445
Co: 0.000 0.000 0.500
Co: 0.333 0.667 0.167
Co: 0.667 0.333 0.833

* formation enthalpy at 0 K: 0.252 eV/atom
* density of states at the Fermi level: 1.5142 states/eV per atom
* space-group type: R-3m
* calculated total energy: -20.3 eV per formula unit

Crystalline TbPrCo4 at its relaxed geometry. Source: the Alexandria database, functional GGA-PBE.

Cell: 5.146 5.146 5.146 Å, 60.00 60.00 60.00°
Atoms (fractional coordinates):
Tb: 0.000 0.000 0.000
Pr: 0.750 0.750 0.750
Co: 0.374 0.374 0.374
Co: 0.374 0.374 0.877
Co: 0.374 0.877 0.374
Co: 0.877 0.374 0.374

* formation enthalpy at 0 K: -0.079 eV/atom
* density of states at the Fermi level: 1.5207 states/eV per atom
* space-group type: F-43m
* calculated total energy: -38.3 eV per formula unit

Q: calculated total energy of number 3 (SrPr2Co)?
A: -17.9 eV per formula unit

Q: density of states at the Fermi level of number 5 (TbPr2Co)?
A: 1.5142 states/eV per atom

Q: Among the records above, which one has the lowest formation enthalpy at 0 K?
A: TbPrCo4

Q: Which of these has the lowest calculated total energy?
A: TbPrCo4